Entry 1:
DFT (GGA-PBE) results for a relaxed structure of Dy2Te.

Structure (POSCAR):
```
Dy2Te
1.0
22.1672 0.0000 0.0000
0.0000 4.0563 0.0000
0.0000 0.0000 11.5156
Dy Te
24 12
direct
0.0174 0.2500 0.1131 Dy
0.0344 0.7500 0.3839 Dy
0.1080 0.2500 0.8492 Dy
0.1466 0.7500 0.0859 Dy
0.1606 0.2500 0.5452 Dy
0.2329 0.7500 0.7661 Dy
0.2671 0.2500 0.2661 Dy
0.3394 0.7500 0.0452 Dy
0.3534 0.2500 0.5859 Dy
0.3920 0.7500 0.3492 Dy
0.4656 0.2500 0.8839 Dy
0.4826 0.7500 0.6131 Dy
0.5174 0.2500 0.3869 Dy
0.5344 0.7500 0.1161 Dy
0.6080 0.2500 0.6508 Dy
0.6466 0.7500 0.4141 Dy
0.6606 0.2500 0.9548 Dy
0.7329 0.7500 0.7339 Dy
0.7671 0.2500 0.2339 Dy
0.8394 0.7500 0.4548 Dy
0.8534 0.2500 0.9141 Dy
0.8920 0.7500 0.1508 Dy
0.9656 0.2500 0.6161 Dy
0.9826 0.7500 0.8869 Dy
0.0688 0.7500 0.6493 Te
0.1279 0.2500 0.2893 Te
0.2387 0.2500 0.9802 Te
0.2613 0.7500 0.4802 Te
0.3721 0.7500 0.7893 Te
0.4312 0.2500 0.1493 Te
0.5688 0.7500 0.8507 Te
0.6279 0.2500 0.2107 Te
0.7387 0.2500 0.5198 Te
0.7613 0.7500 0.0198 Te
0.8721 0.7500 0.7107 Te
0.9312 0.2500 0.3507 Te
```

Computed properties:
- Total DFT energy (no corrections): -4.992 eV per atom


Entry 2:
DFT (GGA-PBE) results for a relaxed structure of DyTe.

Structure (POSCAR):
```
DyTe
1.0
6.8435 0.0000 0.0000
0.0000 6.8435 0.0000
0.0000 0.0000 6.8435
Dy Te
4 4
direct
0.0000 0.0000 0.0000 Dy
0.0000 0.5000 0.5000 Dy
0.5000 0.0000 0.5000 Dy
0.5000 0.5000 0.0000 Dy
0.2500 0.2500 0.7500 Te
0.2500 0.7500 0.2500 Te
0.7500 0.2500 0.2500 Te
0.7500 0.7500 0.7500 Te
```

Computed properties:
- Total DFT energy (no corrections): -4.712 eV per atom


Entry 3:
DFT (GGA-PBE) results for a relaxed structure of Dy2Te3.

Structure (POSCAR):
```
Dy2Te3
1.0
0.0000 6.1551 13.0426
4.3592 0.0000 13.0426
4.3592 6.1551 0.0000
Dy Te
8 12
direct
0.0424 0.0424 0.2076 Dy
0.1251 0.1251 0.6249 Dy
0.2076 0.2076 0.0424 Dy
0.3751 0.3751 0.8749 Dy
0.6249 0.6249 0.1251 Dy
0.7924 0.7924 0.9576 Dy
0.8749 0.8749 0.3751 Dy
0.9576 0.9576 0.7924 Dy
0.0428 0.5408 0.2082 Te
0.1275 0.6225 0.6225 Te
0.2082 0.7082 0.0428 Te
0.2918 0.7918 0.4592 Te
0.3775 0.8725 0.8725 Te
0.4592 0.9572 0.2918 Te
0.5408 0.0428 0.7082 Te
0.6225 0.1275 0.1275 Te
0.7082 0.2082 0.5408 Te
0.7918 0.2918 0.9572 Te
0.8725 0.3775 0.3775 Te
0.9572 0.4592 0.7918 Te
```

Computed properties:
- Total DFT energy (no corrections): -5.138 eV per atom


Entry 4:
DFT (GGA-PBE) results for a relaxed structure of DyThTe.

Structure (POSCAR):
```
DyThTe
1.0
7.3275 0.0000 0.0000
0.0000 7.3275 0.0000
0.0000 0.0000 7.3275
Dy Th Te
4 4 4
direct
0.0000 0.0000 0.0000 Dy
0.0000 0.5000 0.5000 Dy
0.5000 0.0000 0.5000 Dy
0.5000 0.5000 0.0000 Dy
0.0000 0.0000 0.5000 Th
0.0000 0.5000 0.0000 Th
0.5000 0.0000 0.0000 Th
0.5000 0.5000 0.5000 Th
0.2500 0.2500 0.2500 Te
0.2500 0.7500 0.7500 Te
0.7500 0.2500 0.7500 Te
0.7500 0.7500 0.2500 Te
```

Computed properties:
- Distance to the lowest polymorph of the same formula: 0.0000 eV/atom
- Total DFT energy (no corrections): -5.360 eV per atom


Entry 5:
DFT (GGA-PBE) results for a relaxed structure of DyTlTe.

Structure (POSCAR):
```
DyTlTe
1.0
7.3322 0.0000 0.0000
0.0000 7.3322 0.0000
0.0000 0.0000 7.3322
Dy Tl Te
4 4 4
direct
0.0000 0.0000 0.0000 Dy
0.0000 0.5000 0.5000 Dy
0.5000 0.0000 0.5000 Dy
0.5000 0.5000 0.0000 Dy
0.0000 0.0000 0.5000 Tl
0.0000 0.5000 0.0000 Tl
0.5000 0.0000 0.0000 Tl
0.5000 0.5000 0.5000 Tl
0.2500 0.2500 0.2500 Te
0.2500 0.7500 0.7500 Te
0.7500 0.2500 0.7500 Te
0.7500 0.7500 0.2500 Te
```

Computed properties:
- Distance to the lowest polymorph of the same formula: 0.0000 eV/atom
- Total DFT energy (no corrections): -3.726 eV per atom


Entry 6:
DFT (GGA-PBE) results for a relaxed structure of DyTlTe.

Structure (POSCAR):
```
DyTlTe
1.0
7.3284 0.0000 0.0000
0.0000 7.3284 0.0000
0.0000 0.0000 7.3284
Dy Tl Te
4 4 4
direct
0.0000 0.0000 0.0000 Dy
0.0000 0.5000 0.5000 Dy
0.5000 0.0000 0.5000 Dy
0.5000 0.5000 0.0000 Dy
0.2500 0.2500 0.2500 Tl
0.2500 0.7500 0.7500 Tl
0.7500 0.2500 0.7500 Tl
0.7500 0.7500 0.2500 Tl
0.2500 0.2500 0.7500 Te
0.2500 0.7500 0.2500 Te
0.7500 0.2500 0.2500 Te
0.7500 0.7500 0.7500 Te
```

Computed properties:
- Distance to the lowest polymorph of the same formula: 0.0113 eV/atom
- Total DFT energy (no corrections): -3.715 eV per atom


Entry 7:
DFT (GGA-PBE) results for a relaxed structure of DyTlZnTe3.

Structure (POSCAR):
```
DyTlZnTe3
1.0
9.0930 0.0000 0.0000
0.0000 4.6210 0.0000
0.0000 0.0000 17.6293
Dy Tl Zn Te
4 4 4 12
direct
0.2472 0.2500 0.0449 Dy
0.2528 0.7500 0.5449 Dy
0.7472 0.2500 0.4551 Dy
0.7528 0.7500 0.9551 Dy
0.0709 0.2500 0.7897 Tl
0.4291 0.7500 0.2897 Tl
0.5709 0.2500 0.7103 Tl
0.9291 0.7500 0.2103 Tl
0.1310 0.2500 0.3571 Zn
0.3690 0.7500 0.8571 Zn
0.6310 0.2500 0.1429 Zn
0.8690 0.7500 0.6429 Zn
0.0022 0.7500 0.4132 Te
0.1265 0.7500 0.9474 Te
0.2001 0.2500 0.2120 Te
0.2999 0.7500 0.7120 Te
0.3735 0.2500 0.4474 Te
0.4978 0.2500 0.9132 Te
0.5022 0.7500 0.0868 Te
0.6265 0.7500 0.5526 Te
0.7001 0.2500 0.2880 Te
0.7999 0.7500 0.7880 Te
0.8735 0.2500 0.0526 Te
0.9978 0.2500 0.5868 Te
```

Computed properties:
- Distance to the lowest polymorph of the same formula: 0.1234 eV/atom
- Total DFT energy (no corrections): -3.656 eV per atom


Entry 8:
DFT (GGA-PBE) results for a relaxed structure of DyTlZnTe3.

Structure (POSCAR):
```
DyTlZnTe3
1.0
15.8080 0.0000 0.0000
0.0000 4.3682 0.0000
0.0000 0.0000 11.7261
Dy Tl Zn Te
4 4 4 12
direct
0.0247 0.2500 0.1576 Dy
0.4753 0.7500 0.6576 Dy
0.5247 0.2500 0.3424 Dy
0.9753 0.7500 0.8424 Dy
0.2396 0.2500 0.4639 Tl
0.2604 0.7500 0.9639 Tl
0.7396 0.2500 0.0361 Tl
0.7604 0.7500 0.5361 Tl
0.0168 0.7500 0.4000 Zn
0.4832 0.2500 0.9000 Zn
0.5168 0.7500 0.1000 Zn
0.9832 0.2500 0.6000 Zn
0.0865 0.7500 0.6155 Te
0.1009 0.2500 0.9195 Te
0.1446 0.7500 0.2516 Te
0.3554 0.2500 0.7516 Te
0.3991 0.7500 0.4195 Te
0.4135 0.2500 0.1155 Te
0.5865 0.7500 0.8845 Te
0.6009 0.2500 0.5805 Te
0.6446 0.7500 0.2484 Te
0.8554 0.2500 0.7484 Te
0.8991 0.7500 0.0805 Te
0.9135 0.2500 0.3845 Te
```

Computed properties:
- Distance to the lowest polymorph of the same formula: 0.0160 eV/atom
- Total DFT energy (no corrections): -3.764 eV per atom


Entry 9:
DFT (GGA-PBE) results for a relaxed structure of DyTlZnTe3.

Structure (POSCAR):
```
DyTlZnTe3
1.0
11.5913 0.0000 0.0000
0.0000 4.3610 0.0000
0.0000 0.0000 15.5470
Dy Tl Zn Te
4 4 4 12
direct
0.0162 0.2500 0.2457 Dy
0.4838 0.7500 0.7457 Dy
0.5162 0.2500 0.2543 Dy
0.9838 0.7500 0.7543 Dy
0.2258 0.7500 0.5064 Tl
0.2742 0.2500 0.0064 Tl
0.7258 0.7500 0.9936 Tl
0.7742 0.2500 0.4936 Tl
0.2380 0.2500 0.7154 Zn
0.2620 0.7500 0.2154 Zn
0.7380 0.2500 0.7846 Zn
0.7620 0.7500 0.2846 Zn
0.0454 0.2500 0.6207 Te
0.0781 0.7500 0.1133 Te
0.2362 0.7500 0.8230 Te
0.2638 0.2500 0.3230 Te
0.4219 0.2500 0.6133 Te
0.4546 0.7500 0.1207 Te
0.5454 0.2500 0.8793 Te
0.5781 0.7500 0.3867 Te
0.7362 0.7500 0.6770 Te
0.7638 0.2500 0.1770 Te
0.9219 0.2500 0.8867 Te
0.9546 0.7500 0.3793 Te
```

Computed properties:
- Distance to the lowest polymorph of the same formula: 0.0000 eV/atom
- Total DFT energy (no corrections): -3.780 eV per atom


Entry 10:
DFT (GGA-PBE) results for a relaxed structure of DyTlZnTe3.

Structure (POSCAR):
```
DyTlZnTe3
1.0
9.8298 -2.2091 0.0000
9.8298 2.2091 0.0000
-1.9882 0.0000 9.0790
Dy Tl Zn Te
2 2 2 6
direct
0.1719 0.1719 0.0756 Dy
0.8281 0.8281 0.9244 Dy
0.1335 0.1335 0.5677 Tl
0.8665 0.8665 0.4323 Tl
0.4660 0.4660 0.7767 Zn
0.5340 0.5340 0.2233 Zn
0.0000 0.0000 0.0000 Te
0.3295 0.3295 0.1491 Te
0.3290 0.3290 0.6955 Te
0.5000 0.5000 0.5000 Te
0.6710 0.6710 0.3045 Te
0.6705 0.6705 0.8509 Te
```

Computed properties:
- Distance to the lowest polymorph of the same formula: 0.1393 eV/atom
- Total DFT energy (no corrections): -3.640 eV per atom


Entry 11:
DFT (GGA-PBE) results for a relaxed structure of DyTlZnTe3.

Structure (POSCAR):
```
DyTlZnTe3
1.0
2.1753 -7.7616 0.0000
2.1753 7.7616 0.0000
0.0000 0.0000 11.5710
Dy Tl Zn Te
2 2 2 6
direct
0.0000 0.0000 0.0000 Dy
0.0000 0.0000 0.5000 Dy
0.2446 0.7554 0.7500 Tl
0.7554 0.2446 0.2500 Tl
0.4629 0.5371 0.2500 Zn
0.5371 0.4629 0.7500 Zn
0.0717 0.9283 0.2500 Te
0.3657 0.6343 0.0602 Te
0.3657 0.6343 0.4398 Te
0.6343 0.3657 0.5602 Te
0.6343 0.3657 0.9398 Te
0.9283 0.0717 0.7500 Te
```

Computed properties:
- Distance to the lowest polymorph of the same formula: 0.0008 eV/atom
- Total DFT energy (no corrections): -3.779 eV per atom


Entry 12:
DFT (GGA-PBE) results for a relaxed structure of DyTlZnTe3.

Structure (POSCAR):
```
DyTlZnTe3
1.0
8.8549 0.0000 0.0000
0.0000 4.3542 0.0000
-3.6457 0.0000 10.5650
Dy Tl Zn Te
2 2 2 6
direct
0.1891 0.2500 0.1425 Dy
0.8109 0.7500 0.8575 Dy
0.2362 0.7500 0.7073 Tl
0.7638 0.2500 0.2927 Tl
0.4214 0.7500 0.3890 Zn
0.5786 0.2500 0.6110 Zn
0.0562 0.2500 0.8545 Te
0.2689 0.2500 0.4431 Te
0.4414 0.7500 0.1577 Te
0.5586 0.2500 0.8423 Te
0.7311 0.7500 0.5569 Te
0.9438 0.7500 0.1455 Te
```

Computed properties:
- Distance to the lowest polymorph of the same formula: 0.0218 eV/atom
- Total DFT energy (no corrections): -3.758 eV per atom


What is the formula in the sixth record? DyTlTe


Please write out number 9 again, unchanged.
DFT (GGA-PBE) results for a relaxed structure of DyTlZnTe3.

Structure (POSCAR):
```
DyTlZnTe3
1.0
11.5913 0.0000 0.0000
0.0000 4.3610 0.0000
0.0000 0.0000 15.5470
Dy Tl Zn Te
4 4 4 12
direct
0.0162 0.2500 0.2457 Dy
0.4838 0.7500 0.7457 Dy
0.5162 0.2500 0.2543 Dy
0.9838 0.7500 0.7543 Dy
0.2258 0.7500 0.5064 Tl
0.2742 0.2500 0.0064 Tl
0.7258 0.7500 0.9936 Tl
0.7742 0.2500 0.4936 Tl
0.2380 0.2500 0.7154 Zn
0.2620 0.7500 0.2154 Zn
0.7380 0.2500 0.7846 Zn
0.7620 0.7500 0.2846 Zn
0.0454 0.2500 0.6207 Te
0.0781 0.7500 0.1133 Te
0.2362 0.7500 0.8230 Te
0.2638 0.2500 0.3230 Te
0.4219 0.2500 0.6133 Te
0.4546 0.7500 0.1207 Te
0.5454 0.2500 0.8793 Te
0.5781 0.7500 0.3867 Te
0.7362 0.7500 0.6770 Te
0.7638 0.2500 0.1770 Te
0.9219 0.2500 0.8867 Te
0.9546 0.7500 0.3793 Te
```

Computed properties:
- Distance to the lowest polymorph of the same formula: 0.0000 eV/atom
- Total DFT energy (no corrections): -3.780 eV per atom


Repeat the second record exactly.
DFT (GGA-PBE) results for a relaxed structure of DyTe.

Structure (POSCAR):
```
DyTe
1.0
6.8435 0.0000 0.0000
0.0000 6.8435 0.0000
0.0000 0.0000 6.8435
Dy Te
4 4
direct
0.0000 0.0000 0.0000 Dy
0.0000 0.5000 0.5000 Dy
0.5000 0.0000 0.5000 Dy
0.5000 0.5000 0.0000 Dy
0.2500 0.2500 0.7500 Te
0.2500 0.7500 0.2500 Te
0.7500 0.2500 0.2500 Te
0.7500 0.7500 0.7500 Te
```

Computed properties:
- Total DFT energy (no corrections): -4.712 eV per atom


What did the eleventh record say?
DFT (GGA-PBE) results for a relaxed structure of DyTlZnTe3.

Structure (POSCAR):
```
DyTlZnTe3
1.0
2.1753 -7.7616 0.0000
2.1753 7.7616 0.0000
0.0000 0.0000 11.5710
Dy Tl Zn Te
2 2 2 6
direct
0.0000 0.0000 0.0000 Dy
0.0000 0.0000 0.5000 Dy
0.2446 0.7554 0.7500 Tl
0.7554 0.2446 0.2500 Tl
0.4629 0.5371 0.2500 Zn
0.5371 0.4629 0.7500 Zn
0.0717 0.9283 0.2500 Te
0.3657 0.6343 0.0602 Te
0.3657 0.6343 0.4398 Te
0.6343 0.3657 0.5602 Te
0.6343 0.3657 0.9398 Te
0.9283 0.0717 0.7500 Te
```

Computed properties:
- Distance to the lowest polymorph of the same formula: 0.0008 eV/atom
- Total DFT energy (no corrections): -3.779 eV per atom